The following is a GGA-PBE calculation of crystalline Hg2TeCl2 at its relaxed geometry, from Alexandria via LeMat-Bulk.

## Properties
Polymorph energy (0 for the lowest one)   0.620 eV per atom
Space group   I4/mmm (139)
Formation energy (no corrections)   0.15 eV per atom

a = 9.4349 Å, b = 9.4349 Å, c = 9.4349 Å
α = 155.22°, β = 155.22°, γ = 35.34°
Last column: nearest neighbours and their distance in Å.
Sites, in units of the cell vectors:
Hg: 0.2500 0.7500 0.5000  4 Hg 2.86
Hg: 0.7500 0.2500 0.5000  4 Hg 2.86
Te: 0.0000 0.0000 0.0000  8 Cl 3.32
Cl: 0.4061 0.4061 0.0000  4 Te 3.32, 1 Cl 3.38, 4 Hg 3.46
Cl: 0.5939 0.5939 0.0000  4 Te 3.32, 1 Cl 3.38, 4 Hg 3.46